A plane-wave DFT calculation with PBE was carried out for an optimized crystal structure of BiPPd2.

Calculated values
**Total magnetization**: 0.000 μB per atom
**VASP energy**: -4.962 eV/atom
**Calculated volume**: 72.9 Å³ per cell
**DOS at the Fermi energy**: 0.56 states/eV per atom
**Crystal system**: cubic
**Calculated formation energy**: -43 meV/atom

abc: 4.6899 4.6899 4.6899
angles: 60.00 60.00 60.00
With the nearest neighbours (Å) after each atom.
Atoms (fractional coordinates):
1 Bi 0.0000 0.0000 0.0000  8 Pd 2.87
2 P 0.5000 0.5000 0.5000  8 Pd 2.87
3 Pd 0.2500 0.2500 0.2500  4 Bi 2.87, 4 P 2.87
4 Pd 0.7500 0.7500 0.7500  4 Bi 2.87, 4 P 2.87

***

A plane-wave DFT calculation with PBE was carried out for an optimized crystal structure of RbBaNa2Cu.

Calculated values
**Total magnetization**: 0.000 μB per atom
**VASP energy**: -1.757 eV/atom
**Calculated volume**: 228.3 Å³ per cell
**DOS at the Fermi energy**: 0.95 states/eV per atom
**Crystal system**: tetragonal
**Calculated formation energy**: 168 meV/atom

abc: 6.1334 6.1334 6.0680
angles: 90.00 90.00 90.00
With the nearest neighbours (Å) after each atom.
Atoms (fractional coordinates):
1 Rb 0.0000 0.0000 0.0000  8 Na 4.31, 4 Ba 4.34
2 Ba 0.5000 0.5000 0.0000  2 Cu 3.03
3 Na 0.0000 0.5000 0.5000  2 Cu 3.07
4 Na 0.5000 0.0000 0.5000  2 Cu 3.07
5 Cu 0.5000 0.5000 0.5000  2 Ba 3.03, 4 Na 3.07

***

Q: What is the calculated formation energy in the first record?
A: -43 meV/atom